Material: TlRe2C2
Method: DFT, GGA-PBE
State: relaxed

Summary:
Energy of formation (eV/atom): 1.56
Excess energy over the best structure of this formula in the dataset (kJ per mole of atoms): 83.36

Unit cell a=6.982 b=6.982 c=2.779 alpha=90.00 beta=90.00 gamma=90.00
Fractional positions:
C1 0.616 0.116 0.000
C2 0.884 0.616 0.000
C3 0.384 0.884 0.000
C4 0.116 0.384 0.000
Tl1 0.000 0.000 0.000
Tl2 0.500 0.500 0.000
Re1 0.630 0.870 0.500
Re2 0.130 0.630 0.500
Re3 0.370 0.130 0.500
Re4 0.870 0.370 0.500